[1]
{
  "formula": "La3CuAg3",
  "functional": "PBE",
  "state": "optimized geometry",
  "volume_a3_per_cell": 370.4,
  "e_form_ev_per_atom": -0.24,
  "cell": [[3.842, 0.000, 0.000], [0.000, 4.764, 0.000], [0.000, 0.000, 20.238]],
  "species": ["La", "La", "La", "La", "La", "La", "Cu", "Cu", "Ag", "Ag", "Ag", "Ag", "Ag", "Ag"],
  "frac_coords": [[0.000, 0.000, 0.000], [0.000, 0.000, 0.373], [0.000, 0.500, 0.194], [0.500, 0.000, 0.694], [0.500, 0.500, 0.500], [0.500, 0.500, 0.873], [0.000, 0.500, 0.757], [0.500, 0.000, 0.257], [0.000, 0.000, 0.549], [0.000, 0.000, 0.825], [0.000, 0.500, 0.628], [0.500, 0.000, 0.128], [0.500, 0.500, 0.049], [0.500, 0.500, 0.325]]
}

***

[2]
{
  "formula": "La2CuAg",
  "functional": "PBE",
  "state": "optimized geometry",
  "volume_a3_per_cell": 233.1,
  "e_form_ev_per_atom": -0.02,
  "polymorph_energy_mev_per_atom": 176,
  "cell": [[7.470, 0.000, 0.000], [0.000, 3.887, 0.000], [-1.764, 0.000, 8.028]],
  "species": ["La", "La", "La", "La", "Cu", "Cu", "Ag", "Ag"],
  "frac_coords": [[0.247, 0.000, 0.229], [0.253, 0.500, 0.771], [0.747, 0.500, 0.229], [0.753, 0.000, 0.771], [0.000, 0.500, 0.000], [0.500, 0.000, 0.000], [0.000, 0.000, 0.500], [0.500, 0.500, 0.500]]
}

***

[3]
{
  "formula": "LaCu2Ag",
  "functional": "PBE",
  "state": "optimized geometry",
  "volume_a3_per_cell": 250.0,
  "e_form_ev_per_atom": -0.13,
  "cell": [[4.398, 0.000, 0.000], [-2.199, 3.808, 0.000], [0.000, 0.000, 14.926]],
  "species": ["La", "La", "La", "Cu", "Cu", "Cu", "Cu", "Cu", "Cu", "Ag", "Ag", "Ag"],
  "frac_coords": [[0.000, 0.000, 0.000], [0.333, 0.667, 0.667], [0.667, 0.333, 0.333], [0.000, 0.000, 0.470], [0.000, 0.000, 0.792], [0.333, 0.667, 0.137], [0.333, 0.667, 0.458], [0.667, 0.333, 0.125], [0.667, 0.333, 0.803], [0.000, 0.000, 0.204], [0.333, 0.667, 0.871], [0.667, 0.333, 0.538]]
}

***

[4]
{
  "formula": "LaCu2Ag",
  "functional": "PBE",
  "state": "optimized geometry",
  "volume_a3_per_cell": 78.0,
  "e_form_ev_per_atom": -0.02,
  "cell": [[3.433, 0.000, 0.000], [0.000, 3.446, 0.000], [0.000, 0.000, 6.589]],
  "species": ["La", "Cu", "Cu", "Ag"],
  "frac_coords": [[0.000, 0.000, 0.000], [0.500, 0.500, 0.306], [0.500, 0.500, 0.694], [0.000, 0.000, 0.500]]
}

***

| no. | mass density (Mg/m³) |
| --- | --- |
| 1 | 7.2 |
| 2 | 6.4 |
| 3 | 7.5 |
| 4 | 8.0 |